Below is HgMoPt2 after structural relaxation, with properties calculated at the PBE level.

Summary:
Total magnetization, μB/f.u.: 0.60
Energy relative to the lowest polymorph listed for this composition, meV per atom: 439
E_form, eV per atom: 0.249

a = 2.791 Å, b = 5.161 Å, c = 5.695 Å
α = 55.26°, β = 90.00°, γ = 90.00°
Fractional positions:
Hg 0.500 0.500 0.500
Mo 0.000 0.000 0.500
Pt 0.000 0.000 0.000
Pt 0.500 0.500 0.000



Below is HgMoPt2 after structural relaxation, with properties calculated at the PBE level.

Summary:
Total magnetization, μB/f.u.: 0.00
Energy relative to the lowest polymorph listed for this composition, meV per atom: 273
E_form, eV per atom: 0.084

a = 6.656 Å, b = 6.656 Å, c = 6.656 Å
α = 155.81°, β = 141.83°, γ = 45.70°
Fractional positions:
Hg 0.446 0.446 0.000
Mo 0.221 0.721 0.500
Pt 0.043 0.043 0.000
Pt 0.790 0.290 0.500



Below is HgMoPt2 after structural relaxation, with properties calculated at the PBE level.

Summary:
Total magnetization, μB/f.u.: 0.00
Energy relative to the lowest polymorph listed for this composition, meV per atom: 280
E_form, eV per atom: 0.090

a = 4.859 Å, b = 4.859 Å, c = 5.166 Å
α = 82.25°, β = 82.25°, γ = 33.89°
Fractional positions:
Hg 0.750 0.750 0.750
Mo 0.250 0.250 0.250
Pt 0.994 0.994 0.020
Pt 0.506 0.506 0.480



Below is HgMoPt2 after structural relaxation, with properties calculated at the PBE level.

Summary:
Total magnetization, μB/f.u.: 0.00
Energy relative to the lowest polymorph listed for this composition, meV per atom: 241
E_form, eV per atom: 0.052

a = 4.928 Å, b = 4.928 Å, c = 5.081 Å
α = 81.60°, β = 81.60°, γ = 33.42°
Fractional positions:
Hg 0.501 0.501 0.516
Mo 0.255 0.255 0.214
Pt 0.996 0.996 0.027
Pt 0.747 0.747 0.744



Below is HgMoPt after structural relaxation, with properties calculated at the PBE level.

Summary:
Total magnetization, μB/f.u.: 0.00
Energy relative to the lowest polymorph listed for this composition, meV per atom: 289
E_form, eV per atom: 0.392

a = 4.383 Å, b = 4.383 Å, c = 4.383 Å
α = 60.00°, β = 60.00°, γ = 60.00°
Fractional positions:
Hg 0.000 0.000 0.000
Mo 0.500 0.500 0.500
Pt 0.250 0.250 0.250



Below is HgMoPt2 after structural relaxation, with properties calculated at the PBE level.

Summary:
Total magnetization, μB/f.u.: 0.00
Energy relative to the lowest polymorph listed for this composition, meV per atom: 256
E_form, eV per atom: 0.067

a = 2.822 Å, b = 3.946 Å, c = 6.139 Å
α = 90.00°, β = 90.00°, γ = 90.00°
Fractional positions:
Hg 0.000 0.000 0.495
Mo 0.500 0.500 0.789
Pt 0.000 0.000 0.983
Pt 0.500 0.500 0.232



Below is HgMoPt2 after structural relaxation, with properties calculated at the PBE level.

Summary:
Total magnetization, μB/f.u.: 0.00
Energy relative to the lowest polymorph listed for this composition, meV per atom: 143
E_form, eV per atom: -0.046

a = 9.650 Å, b = 9.650 Å, c = 9.650 Å
α = 17.13°, β = 17.13°, γ = 17.13°
Fractional positions:
Hg 0.250 0.250 0.250
Mo 0.750 0.750 0.750
Pt 0.007 0.007 0.007
Pt 0.493 0.493 0.493



Below is TiHg2MoPt after structural relaxation, with properties calculated at the PBE level.

Summary:
Total magnetization, μB/f.u.: 0.00
E_form, eV per atom: 1.152

a = 5.226 Å, b = 4.457 Å, c = 5.226 Å
α = 90.00°, β = 90.00°, γ = 90.00°
Fractional positions:
Mo 0.000 0.000 0.000
Hg 0.000 0.000 0.500
Hg 0.500 0.000 0.000
Pt 0.500 0.500 0.500
Ti 0.000 0.500 0.000